DyGe2Se4: relaxed, GGA-PBE.

Results
Formation energy (no corrections), eV per atom: -0.50
Crystal system: tetragonal

Unit cell a=6.3952 b=6.3952 c=6.3952 alpha=106.50 beta=106.50 gamma=115.59
Positions (direct):
1 Dy 0.0000 0.0000 0.0000
2 Ge 0.2500 0.7500 0.5000
3 Ge 0.7500 0.2500 0.5000
4 Se 0.1902 0.6840 0.8742
5 Se 0.3160 0.1902 0.5062
6 Se 0.6840 0.8098 0.4938
7 Se 0.8098 0.3160 0.1258

Ba3MgTl2O6: relaxed, GGA-PBE.

Results
Formation energy (no corrections), eV per atom: -1.77
Crystal system: trigonal

Unit cell a=6.1771 b=6.1771 c=6.9247 alpha=90.00 beta=90.00 gamma=120.00
Positions (direct):
1 Ba 0.0000 0.0000 0.0000
2 Ba 0.3333 0.6667 0.6188
3 Ba 0.6667 0.3333 0.3812
4 Mg 0.0000 0.0000 0.5000
5 Tl 0.3333 0.6667 0.1412
6 Tl 0.6667 0.3333 0.8588
7 O 0.1622 0.3244 0.3191
8 O 0.1622 0.8378 0.3191
9 O 0.3244 0.1622 0.6809
10 O 0.6756 0.8378 0.3191
11 O 0.8378 0.1622 0.6809
12 O 0.8378 0.6756 0.6809

ZrRe2HPb: relaxed, GGA-PBE.

Results
Crystal system: tetragonal
Uncorrected energy, eV per atom: -7.54

Unit cell a=4.0294 b=4.0294 c=4.8135 alpha=90.00 beta=90.00 gamma=90.00
Positions (direct):
1 Zr 0.0000 0.0000 0.0000
2 Re 0.0000 0.5000 0.5000
3 Re 0.5000 0.0000 0.5000
4 H 0.5000 0.5000 0.5000
5 Pb 0.5000 0.5000 0.0000